Entry 1:
A plane-wave DFT calculation with PBE-GGA was carried out for a relaxed PuZn11Ga crystal.

As for the total energy: -2.516 eV per atom.

It has space group C2/m (No. 12), with a = 5.3043 Å, b = 12.6027 Å, c = 6.8068 Å, α = 90.00°, β = 112.82° and γ = 90.00°. Symmetry generates all atoms from Pu at (0.0000, 0.0000, 0.0000), Zn at (0.0000, 0.5000, 0.5000), Zn at (0.1032, 0.3911, 0.2147), Zn at (0.1834, 0.1782, 0.3524), Zn at (0.2500, 0.2500, 0.0000) and Ga at (0.0000, 0.0000, 0.5000).

=====

Entry 2:
A plane-wave DFT calculation with PBE-GGA was carried out for a relaxed InFe2Au crystal.

As for the total energy: -5.630 eV per atom.

It has space group P4mm (No. 99), with a = 3.1257 Å, b = 3.1257 Å, c = 6.4968 Å, α = 90.00°, β = 90.00° and γ = 90.00°. Symmetry generates all atoms from In at (0.0000, 0.0000, 0.0000), Fe at (0.0000, 0.0000, 0.5607), Fe at (0.5000, 0.5000, 0.7338) and Au at (0.5000, 0.5000, 0.3034).